Compound: Ho2Er7Tm
Source: Alexandria
Functional: PBE-GGA
Structure: optimized geometry

Output
Calculated total energy (eV/atom): -4.53
Energy of formation (meV/atom): 24
Offset from the most stable computed form (meV per atom): 0

```
data_Ho2Er7Tm
_chemical_formula_sum 'Ho2 Er7 Tm1'
_symmetry_space_group_name_H-M 'P -1'
_symmetry_Int_Tables_number 2
_symmetry_space_group_name_Hall '-P 1'
_cell_length_a 6.057
_cell_length_b 6.067
_cell_length_c 9.251
_cell_angle_alpha 102.63
_cell_angle_beta 109.01
_cell_angle_gamma 99.60
loop_
_atom_site_label
_atom_site_fract_x
_atom_site_fract_y
_atom_site_fract_z
Ho1 0.100 0.000 0.200
Er1 0.100 0.500 0.700
Er2 0.300 0.000 0.600
Er3 0.300 0.500 0.100
Er4 0.500 0.000 0.000
Tm1 0.500 0.500 0.500
```

=====

Compound: DyYEr4
Source: Alexandria
Functional: PBE-GGA
Structure: optimized geometry

Output
Calculated total energy (eV/atom): -4.63
Energy of formation (meV/atom): 256
Offset from the most stable computed form (meV per atom): 234

```
data_DyYEr4
_chemical_formula_sum 'Dy4 Y4 Er16'
_symmetry_space_group_name_H-M 'F -4 3 m'
_symmetry_Int_Tables_number 216
_symmetry_space_group_name_Hall 'F -4 2 3'
_cell_length_a 9.217
_cell_length_b 9.217
_cell_length_c 9.217
_cell_angle_alpha 90.00
_cell_angle_beta 90.00
_cell_angle_gamma 90.00
loop_
_atom_site_label
_atom_site_fract_x
_atom_site_fract_y
_atom_site_fract_z
Dy1 0.000 0.000 0.000
Y1 0.250 0.250 0.750
Er1 0.125 0.125 0.375
```

=====

Compound: Pr2HgSb
Source: Alexandria
Functional: PBE-GGA
Structure: optimized geometry

Output
Calculated total energy (eV/atom): -4.27
Uncorrected formation energy (eV per atom): -0.78
Offset from the most stable computed form (meV per atom): 0

```
data_Pr2HgSb
_chemical_formula_sum 'Pr8 Hg4 Sb4'
_symmetry_space_group_name_H-M 'C m c m'
_symmetry_Int_Tables_number 63
_symmetry_space_group_name_Hall '-C 2c 2'
_cell_length_a 4.326
_cell_length_b 25.121
_cell_length_c 4.733
_cell_angle_alpha 90.00
_cell_angle_beta 90.00
_cell_angle_gamma 90.00
loop_
_atom_site_label
_atom_site_fract_x
_atom_site_fract_y
_atom_site_fract_z
Pr1 0.000 0.065 0.250
Pr2 0.000 0.315 0.250
Hg1 0.000 0.457 0.250
Sb1 0.000 0.189 0.250
```

=====

Compound: PuMn2Ir
Source: Alexandria
Functional: PBE-GGA
Structure: optimized geometry

Output
Calculated total energy (eV/atom): -10.56
Energy of formation (meV/atom): -180

```
data_PuMn2Ir
_chemical_formula_sum 'Pu1 Mn2 Ir1'
_symmetry_space_group_name_H-M 'P 4/m m m'
_symmetry_Int_Tables_number 123
_symmetry_space_group_name_Hall '-P 4 2'
_cell_length_a 4.011
_cell_length_b 4.011
_cell_length_c 4.027
_cell_angle_alpha 90.00
_cell_angle_beta 90.00
_cell_angle_gamma 90.00
loop_
_atom_site_label
_atom_site_fract_x
_atom_site_fract_y
_atom_site_fract_z
Pu1 0.000 0.000 0.000
Mn1 0.000 0.500 0.500
Ir1 0.500 0.500 0.000
```

=====

Compound: YZr2P
Source: Alexandria
Functional: PBE-GGA
Structure: optimized geometry

Output
Calculated total energy (eV/atom): -7.53
Energy of formation (meV/atom): -289

```
data_YZr2P
_chemical_formula_sum 'Y2 Zr4 P2'
_symmetry_space_group_name_H-M 'I 4/m m m'
_symmetry_Int_Tables_number 139
_symmetry_space_group_name_Hall '-I 4 2'
_cell_length_a 4.198
_cell_length_b 4.198
_cell_length_c 9.813
_cell_angle_alpha 90.00
_cell_angle_beta 90.00
_cell_angle_gamma 90.00
loop_
_atom_site_label
_atom_site_fract_x
_atom_site_fract_y
_atom_site_fract_z
Y1 0.000 0.000 0.000
Zr1 0.000 0.500 0.250
P1 0.000 0.000 0.500
```

=====

Compound: UTeRh
Source: Alexandria
Functional: PBE-GGA
Structure: optimized geometry

Output
Calculated total energy (eV/atom): -7.60
Uncorrected formation energy (eV per atom): -0.34

```
data_UTeRh
_chemical_formula_sum 'U16 Te16 Rh16'
_symmetry_space_group_name_H-M 'F d d 2'
_symmetry_Int_Tables_number 43
_symmetry_space_group_name_Hall 'F 2 -2d'
_cell_length_a 10.042
_cell_length_b 11.513
_cell_length_c 9.662
_cell_angle_alpha 90.00
_cell_angle_beta 90.00
_cell_angle_gamma 90.00
loop_
_atom_site_label
_atom_site_fract_x
_atom_site_fract_y
_atom_site_fract_z
U1 0.110 0.171 0.000
Te1 0.070 0.160 0.326
Rh1 0.113 0.177 0.729
```